DFT (PBE with a Hubbard U) results for a relaxed MnClF2 crystal.

Unit cell a=6.128 b=6.128 c=6.554 alpha=62.13 beta=62.13 gamma=90.00
Site moments in Bohr magnetons follow the coordinates.
Fractional positions:
F  0.877  0.625  0.250  0.02
F  0.873  0.125  0.250  0.02
F  0.875  0.123  0.750  0.03
F  0.375  0.127  0.750  0.04
Cl  0.500  0.500  0.000  0.56
Cl  0.250  0.750  0.500  0.56
Mn  0.000  0.000  0.000  4.52
Mn  0.750  0.250  0.500  4.52

Summary:
The symmetry is I-42d, No. 122. Its crystal system is tetragonal. The value obtained for the total energy is -19.517 eV per formula unit. Its density of states at the Fermi level is 14.5 states/eV/cell.